SbCl2 | GGA-PBEsol | optimized geometry

Results
Uncorrected formation energy in kJ per mole of atoms: -36
E in eV per cell: -29.04

POSCAR file:
```
SbCl2
1.0
-3.3575 0.5907 -1.0016
-1.1681 -8.1085 -0.8668
-1.5203 3.6301 7.2370
Cl Sb
6 3
direct
0.0000 0.2422 0.0000 Cl
0.5000 0.5704 0.0000 Cl
0.5000 0.4296 0.4296 Cl
0.0000 0.0000 0.2422 Cl
0.5000 0.0000 0.5704 Cl
0.0000 0.7578 0.7578 Cl
0.0000 0.3333 0.6667 Sb
0.5000 0.0000 0.0000 Sb
0.0000 0.6667 0.3333 Sb
```

***

TmSi2Pt2 | GGA-PBEsol | optimized geometry

Results
Uncorrected formation energy in kJ per mole of atoms: -102
E in eV per cell: -35.59

POSCAR file:
```
TmSi2Pt2
1.0
4.0880 0.0000 0.0000
0.0000 4.0880 0.0000
-2.0440 -2.0440 4.9290
Si Pt Tm
2 2 1
direct
0.3846 0.3846 0.7691 Si
0.6154 0.6154 0.2309 Si
0.7500 0.2500 0.5000 Pt
0.2500 0.7500 0.5000 Pt
0.0000 0.0000 0.0000 Tm
```

***

YTlTe2I | GGA-PBEsol | optimized geometry

Results
Uncorrected formation energy in kJ per mole of atoms: 8
E in eV per cell: -17.86

POSCAR file:
```
YTlTe2I
1.0
5.6918 0.0000 0.0000
0.0000 5.6384 0.0000
0.0000 0.0000 5.6384
I Te Y Tl
1 2 1 1
direct
0.5000 0.0000 0.0000 I
0.0000 0.0000 0.5000 Te
0.0000 0.5000 0.0000 Te
0.5000 0.5000 0.5000 Y
0.0000 0.0000 0.0000 Tl
```

***

SnS3Br | GGA-PBEsol | optimized geometry

Results
Uncorrected formation energy in kJ per mole of atoms: 57
E in eV per cell: -16.32

POSCAR file:
```
SnS3Br
1.0
-2.4084 4.0388 1.0974
-3.8105 -2.6397 1.3523
1.7310 -0.1916 4.5037
S Br Sn
3 1 1
direct
0.0000 0.5000 0.0000 S
0.5000 0.0000 0.0000 S
0.0000 0.0000 0.5000 S
0.0000 0.0000 0.0000 Br
0.5000 0.5000 0.5000 Sn
```

***

TeIrRh2 | GGA-PBEsol | optimized geometry

Results
Uncorrected formation energy in kJ per mole of atoms: 8
E in eV per cell: -29.31

POSCAR file:
```
TeIrRh2
1.0
-2.7616 1.9404 1.9891
-2.7586 -1.5772 -2.2914
-0.3373 -3.0442 2.5015
Rh Te Ir
2 1 1
direct
0.5000 0.0000 0.0000 Rh
0.0000 0.5000 0.0000 Rh
0.5000 0.5000 0.5000 Te
0.0000 0.0000 0.5000 Ir
```

***

CsMn4Cl9 | GGA-PBEsol | optimized geometry

Results
Uncorrected formation energy in kJ per mole of atoms: -110
E in eV per cell: -147.99

POSCAR file:
```
CsMn4Cl9
1.0
9.6168 -0.0166 0.0000
-4.1846 8.6587 0.0000
-2.7161 -4.3210 8.1508
Cl Cs Mn
18 2 8
direct
0.5435 0.8478 0.9070 Cl
0.7500 0.2500 0.5000 Cl
0.3635 0.4565 0.3043 Cl
0.5000 0.5000 0.0000 Cl
0.4098 0.7964 0.1958 Cl
0.0464 0.3506 0.8866 Cl
0.3093 0.1135 0.4070 Cl
0.1522 0.0593 0.6957 Cl
0.6006 0.2140 0.8042 Cl
0.6494 0.5360 0.6958 Cl
0.2036 0.3994 0.6134 Cl
0.7860 0.5902 0.3866 Cl
0.0978 0.6907 0.8043 Cl
0.9407 0.6365 0.0930 Cl
0.7065 0.9022 0.5930 Cl
0.4640 0.1598 0.1134 Cl
0.8402 0.9536 0.3042 Cl
0.8865 0.2935 0.1957 Cl
0.2500 0.7500 0.5000 Cs
0.0000 0.0000 0.0000 Cs
0.8590 0.4603 0.8096 Mn
0.5397 0.3493 0.3987 Mn
0.6507 0.0494 0.1904 Mn
0.3910 0.2897 0.6904 Mn
0.7103 0.4007 0.1013 Mn
0.2994 0.6090 0.8987 Mn
0.5993 0.7006 0.3096 Mn
0.9506 0.1410 0.6013 Mn
```

***

CoRu | GGA-PBEsol | optimized geometry

Results
Energy relative to the elements in eV per atom: 1.274
E in eV per cell: -30.72

POSCAR file:
```
CoRu
1.0
-2.6128 0.8714 2.7861
3.6457 -1.0386 0.9893
1.3152 4.4623 -0.1623
Co Ru
2 2
direct
0.3333 0.6667 0.5645 Co
0.6667 0.3333 0.0645 Co
0.6667 0.3333 0.5645 Ru
0.3333 0.6667 0.0645 Ru
```

***

As2PPt | GGA-PBEsol | optimized geometry

Results
Energy relative to the elements in eV per atom: 0.161
E in eV per cell: -22.32

POSCAR file:
```
As2PPt
1.0
3.2320 0.0000 0.0000
0.0000 3.2320 0.0000
0.0000 0.0000 6.6266
P As Pt
1 2 1
direct
0.0000 0.0000 0.4990 P
0.5000 0.5000 0.3235 As
0.0000 0.0000 0.9368 As
0.5000 0.5000 0.7407 Pt
```

***

CdCu2SnS4 | GGA-PBEsol | optimized geometry

Results
Uncorrected formation energy in kJ per mole of atoms: -41
E in eV per cell: -35.05

POSCAR file:
```
CdCu2SnS4
1.0
5.5294 0.0000 0.0000
0.0000 5.5294 0.0000
-2.7647 -2.7647 5.4118
S Cu Cd Sn
4 2 1 1
direct
0.3983 0.3983 0.2833 S
0.8850 0.8850 0.2833 S
0.6017 0.1150 0.7166 S
0.1150 0.6017 0.7166 S
0.7500 0.2500 0.5000 Cu
0.2500 0.7500 0.5000 Cu
0.0000 0.0000 0.0000 Cd
0.5000 0.5000 0.0000 Sn
```

***

Na2CuC | GGA-PBEsol | optimized geometry

Results
Energy relative to the elements in eV per atom: 0.544
E in eV per cell: -29.20

POSCAR file:
```
Na2CuC
1.0
-3.2086 -1.4262 -0.7770
1.5634 -6.6382 -2.5939
-2.0098 -3.3652 6.1542
Cu Na C
2 4 2
direct
0.7500 0.5000 0.5000 Cu
0.0000 0.0000 0.0000 Cu
0.8750 0.7500 0.7500 Na
0.3750 0.2500 0.2500 Na
0.3750 0.7500 0.2500 Na
0.3750 0.2500 0.7500 Na
0.2500 0.5000 0.5000 C
0.5000 0.0000 0.0000 C
```

***

InSiHg2 | GGA-PBEsol | optimized geometry

Results
Uncorrected formation energy in kJ per mole of atoms: 21
E in eV per cell: -8.97

POSCAR file:
```
InSiHg2
1.0
-3.5404 -1.5028 -1.6536
2.3755 -1.7172 -2.9892
1.0587 -2.5716 5.1021
Hg Si In
2 1 1
direct
0.5000 0.0000 0.5000 Hg
0.0000 0.5000 0.5000 Hg
0.5000 0.5000 0.0000 Si
0.0000 0.0000 0.0000 In
```

***

CaZnSe2 | GGA-PBEsol | optimized geometry

Results
Uncorrected formation energy in kJ per mole of atoms: -108
E in eV per cell: -15.88

POSCAR file:
```
CaZnSe2
1.0
-0.0177 3.3599 2.5105
0.3736 -2.4993 3.3475
6.3065 0.3589 -0.4359
Ca Zn Se
1 1 2
direct
0.0000 0.0000 0.0000 Ca
0.5000 0.5000 0.5000 Zn
0.0000 0.5000 0.7098 Se
0.5000 0.0000 0.2902 Se
```